Density functional theory data (PBE with a Hubbard U) for a relaxed SrFeTeO6 crystal.

It has space group P-31c (No. 163), with a = 5.1473 Å, b = 5.1473 Å, c = 10.9089 Å, α = 90.00°, β = 90.00° and γ = 120.00°. The distinct sites, in fractional coordinates, are Sr at (0.0000, 0.0000, 0.0000), Fe at (0.3333, 0.6667, 0.2500), Te at (0.3333, 0.6667, 0.7500) and O at (0.0039, 0.3854, 0.1496).

The total moment comes out at 4.02 μB per cell. Its electronic total energy is -6.0049 eV/atom. The volume is 13.9 Å³/atom.

***

Density functional theory data (PBE with a Hubbard U) for a relaxed Sr2FeTeO6 crystal.

It has space group C2/m (No. 12), with a = 9.9036 Å, b = 5.7202 Å, c = 5.7097 Å, α = 90.00°, β = 124.88° and γ = 90.00°. The distinct sites, in fractional coordinates, are Sr at (0.2478, 0.0000, 0.2403), Fe at (0.0000, 0.0000, 0.5000), Te at (0.0000, 0.5000, 0.0000), O at (0.0372, 0.2599, 0.7985) and O at (0.2350, 0.5000, 0.3028).

The total moment comes out at 8.00 μB per cell. Its electronic total energy is -6.2121 eV/atom. The volume is 13.3 Å³/atom.

***

Among the records above, which one has the lowest total moment? SrFeTeO6

***

Which of these has the lowest volume? Sr2FeTeO6

***

Copy entry 2 word for word.
Density functional theory data (PBE with a Hubbard U) for a relaxed Sr2FeTeO6 crystal.

It has space group C2/m (No. 12), with a = 9.9036 Å, b = 5.7202 Å, c = 5.7097 Å, α = 90.00°, β = 124.88° and γ = 90.00°. The distinct sites, in fractional coordinates, are Sr at (0.2478, 0.0000, 0.2403), Fe at (0.0000, 0.0000, 0.5000), Te at (0.0000, 0.5000, 0.0000), O at (0.0372, 0.2599, 0.7985) and O at (0.2350, 0.5000, 0.3028).

The total moment comes out at 8.00 μB per cell. Its electronic total energy is -6.2121 eV/atom. The volume is 13.3 Å³/atom.

***

Which value of total moment does entry 1 give? 4.02 μB per cell